# Nd4Y2ErMg (GGA-PBE, optimized geometry)
data_Nd4Y2ErMg
_chemical_formula_sum 'Nd4 Y2 Er1 Mg1'
_space_group_name_H-M_alt 'P 4/m m m'
_space_group_IT_number 123
_space_group_name_Hall '-P 4 2'
_cell_length_a 5.077
_cell_length_b 5.077
_cell_length_c 10.054
_cell_angle_alpha 90.00
_cell_angle_beta 90.00
_cell_angle_gamma 90.00
loop_
_atom_site_label
_atom_site_type_symbol
_atom_site_fract_x
_atom_site_fract_y
_atom_site_fract_z
Nd1 Nd 0.000 0.500 0.247
Y1 Y 0.000 0.000 0.000
Y2 Y 0.500 0.500 0.500
Er1 Er 0.000 0.000 0.500
Mg1 Mg 0.500 0.500 0.000
# Energy of formation from the pure elements   0.01 eV/atom
# Magnetic moment   0.0 Bohr magnetons per cell
# Final energy   -4.762 eV/atom